This record from the Alexandria database describes a relaxed Zn2Ni8Ir crystal. The functional is GGA-PBE.

uncorrected energy	-4.93	eV per atom

Cell: 4.542 6.151 6.151 Å, 59.44 87.58 87.58°
Each line ends with the local moment (μB).
Fractional positions:
Ir 0.000 0.000 0.000  0.57
Ni 0.050 0.231 0.231  0.42
Ni 0.316 0.412 0.412  0.55
Ni 0.214 0.797 0.413  0.52
Ni 0.786 0.203 0.587  0.52
Ni 0.786 0.587 0.203  0.52
Ni 0.684 0.588 0.588  0.55
Ni 0.214 0.413 0.797  0.52
Zn 0.559 0.166 0.166  -0.01
Ni 0.950 0.769 0.769  0.42
Zn 0.441 0.834 0.834  -0.01